Entry 1:
Below is a geometry-optimized SrLiAg structure, with properties calculated at the GGA-PBE level.

Output
As for the formation enthalpy at 0 K: 0.255 eV/atom.

abc: 5.258 5.258 5.258
angles: 60.00 60.00 60.00
Positions (direct):
Sr  0.000  0.000  0.000
Li  0.750  0.750  0.750
Ag  0.250  0.250  0.250

---

Entry 2:
Below is a geometry-optimized K2SrSc structure, with properties calculated at the GGA-PBE level.

Output
As for the formation enthalpy at 0 K: 0.529 eV/atom.

abc: 3.731 6.829 7.546
angles: 90.00 90.00 90.00
Positions (direct):
K  0.000  0.000  0.236
K  0.000  0.000  0.764
Sr  0.500  0.500  0.500
Sc  0.500  0.500  0.000

---

Entry 3:
Below is a geometry-optimized Ti2MnMoH structure, with properties calculated at the GGA-PBE level.

Output
The calculation puts the electronic total energy at -7.994 eV/atom.

abc: 4.323 4.323 3.264
angles: 90.00 90.00 90.00
Positions (direct):
Ti  0.000  0.500  0.000
Ti  0.500  0.000  0.000
Mn  0.000  0.000  0.500
Mo  0.500  0.500  0.500
H  0.000  0.000  0.000

---

Entry 4:
Below is a geometry-optimized Y2Al4IrAu3 structure, with properties calculated at the GGA-PBE level.

Output
As for the formation enthalpy at 0 K: -0.742 eV/atom.

abc: 4.203 4.203 10.892
angles: 90.00 90.00 90.00
Positions (direct):
Y  0.000  0.500  0.243
Y  0.500  0.000  0.757
Al  0.000  0.000  0.500
Al  0.000  0.500  0.871
Al  0.500  0.000  0.129
Al  0.500  0.500  0.500
Ir  0.500  0.500  0.000
Au  0.000  0.000  0.000
Au  0.000  0.500  0.641
Au  0.500  0.000  0.359

---

Entry 5:
Below is a geometry-optimized Tb12Tm6Tl structure, with properties calculated at the GGA-PBE level.

Output
As for the formation enthalpy at 0 K: 0.090 eV/atom.

abc: 8.436 8.436 8.436
angles: 88.78 88.78 88.78
Positions (direct):
Tb  0.039  0.282  0.933
Tb  0.067  0.961  0.718
Tb  0.136  0.319  0.487
Tb  0.282  0.933  0.039
Tb  0.319  0.487  0.136
Tb  0.487  0.136  0.319
Tb  0.513  0.864  0.681
Tb  0.681  0.513  0.864
Tb  0.718  0.067  0.961
Tb  0.864  0.681  0.513
Tb  0.933  0.039  0.282
Tb  0.961  0.718  0.067
Tm  0.210  0.598  0.758
Tm  0.242  0.790  0.402
Tm  0.402  0.242  0.790
Tm  0.598  0.758  0.210
Tm  0.758  0.210  0.598
Tm  0.790  0.402  0.242
Tl  0.500  0.500  0.500

---

Entry 6:
Below is a geometry-optimized LaCo2Au structure, with properties calculated at the GGA-PBE level.

Output
As for the formation enthalpy at 0 K: 0.136 eV/atom.

abc: 4.606 4.606 4.606
angles: 60.00 60.00 60.00
Positions (direct):
La  0.000  0.000  0.000
Co  0.250  0.250  0.250
Co  0.750  0.750  0.750
Au  0.500  0.500  0.500

---

Entry 7:
Below is a geometry-optimized Ta2TcOs structure, with properties calculated at the GGA-PBE level.

Output
As for the formation enthalpy at 0 K: -0.138 eV/atom.

abc: 5.201 5.201 5.201
angles: 144.41 126.51 65.92
Positions (direct):
Ta  0.249  0.249  0.000
Ta  0.751  0.751  0.000
Tc  0.000  0.500  0.500
Os  0.500  0.000  0.500

---

Entry 8:
Below is a geometry-optimized Pm6Pr3In structure, with properties calculated at the GGA-PBE level.

Output
As for the formation enthalpy at 0 K: -0.019 eV/atom.

abc: 13.006 3.643 15.181
angles: 90.00 107.19 90.00
Positions (direct):
Pm  0.078  0.250  0.202
Pm  0.165  0.250  0.819
Pm  0.169  0.750  0.605
Pm  0.260  0.250  0.426
Pm  0.329  0.750  0.231
Pm  0.388  0.250  0.035
Pm  0.612  0.750  0.965
Pm  0.671  0.250  0.769
Pm  0.740  0.750  0.574
Pm  0.831  0.250  0.395
Pm  0.835  0.750  0.181
Pm  0.922  0.750  0.798
Pr  0.126  0.750  0.014
Pr  0.404  0.250  0.781
Pr  0.468  0.750  0.597
Pr  0.532  0.250  0.403
Pr  0.596  0.750  0.219
Pr  0.874  0.250  0.986
In  0.038  0.750  0.379
In  0.962  0.250  0.621

---

Entry 9:
Below is a geometry-optimized PH2Ru2 structure, with properties calculated at the GGA-PBE level.

Output
The calculation puts the electronic total energy at -6.188 eV/atom.

abc: 5.712 5.712 5.712
angles: 150.42 150.42 42.32
Positions (direct):
P  0.000  0.000  0.000
H  0.250  0.750  0.500
H  0.750  0.250  0.500
Ru  0.369  0.369  0.000
Ru  0.631  0.631  0.000

---

Entry 10:
Below is a geometry-optimized Cs2PdCl structure, with properties calculated at the GGA-PBE level.

Output
The calculation puts the electronic total energy at -2.769 eV/atom.

abc: 5.944 5.944 5.944
angles: 60.00 60.00 60.00
Positions (direct):
Cs  0.250  0.250  0.250
Cs  0.750  0.750  0.750
Pd  0.000  0.000  0.000
Cl  0.500  0.500  0.500

---

Entry 11:
Below is a geometry-optimized FeTc2W structure, with properties calculated at the GGA-PBE level.

Output
As for the formation enthalpy at 0 K: 0.225 eV/atom.

abc: 9.058 9.058 9.058
angles: 17.30 17.30 17.30
Positions (direct):
Fe  0.000  0.000  0.000
Tc  0.256  0.256  0.256
Tc  0.744  0.744  0.744
W  0.500  0.500  0.500

---

Entry 12:
Below is a geometry-optimized ScH2Pd8 structure, with properties calculated at the GGA-PBE level.

Output
The calculation puts the electronic total energy at -5.110 eV/atom.

abc: 7.553 7.553 3.003
angles: 94.23 94.23 66.81
Positions (direct):
Sc  0.000  0.000  0.000
H  0.147  0.147  0.630
H  0.853  0.853  0.370
Pd  0.108  0.658  0.343
Pd  0.235  0.235  0.183
Pd  0.342  0.892  0.657
Pd  0.413  0.413  0.765
Pd  0.587  0.587  0.235
Pd  0.658  0.108  0.343
Pd  0.765  0.765  0.817
Pd  0.892  0.342  0.657

---

| no. | total magnetization (μB per atom) |
| --- | --- |
| 1 | 0.000 |
| 2 | 0.150 |
| 3 | 0.183 |
| 4 | 0.000 |
| 5 | 0.000 |
| 6 | 0.339 |
| 7 | 0.000 |
| 8 | 0.000 |
| 9 | 0.000 |
| 10 | 0.230 |
| 11 | 0.372 |
| 12 | 0.000 |